This record from Alexandria describes a relaxed ScNiNF2 crystal. The functional is PBE with a Hubbard U.

Values from the calculation:
The space group is P4/mmm, No. 123. The value obtained for the total energy is -0.201 Ha/atom.

Cell and atoms, written as POSCAR:
```
ScNiNF2
1.0
3.703 0.000 0.000
0.000 3.703 0.000
0.000 0.000 4.314
Sc Ni N F
1 1 1 2
Direct
0.000 0.000 0.000 Sc
0.500 0.500 0.500 Ni
0.500 0.500 0.000 N
0.000 0.500 0.500 F
0.500 0.000 0.500 F
```